Below is a geometry-optimized CeY8Er4 structure, with properties calculated at the PBE level.

total moment	0.01	μB per formula unit
calculated formation energy	4.078	kcal/mol of atoms
space-group type	R-3m

abc: 9.883 9.883 9.883
angles: 43.19 43.19 43.19
Element x y z (fractional)
Ce1 0.000 0.000 0.000
Y1 0.245 0.245 0.701
Y2 0.245 0.701 0.245
Y3 0.279 0.279 0.279
Y4 0.299 0.755 0.755
Y5 0.701 0.245 0.245
Y6 0.721 0.721 0.721
Y7 0.755 0.299 0.755
Y8 0.755 0.755 0.299
Er1 0.000 0.000 0.500
Er2 0.000 0.500 0.000
Er3 0.500 0.000 0.000
Er4 0.500 0.500 0.500



Below is a geometry-optimized GaHg7 structure, with properties calculated at the PBE level.

total moment	0.00	μB per formula unit
calculated formation energy	0.857	kcal/mol of atoms
space-group type	Fm-3m

abc: 6.687 6.687 6.687
angles: 60.00 60.00 60.00
Element x y z (fractional)
Ga1 0.000 0.000 0.000
Hg1 0.000 0.000 0.500
Hg2 0.000 0.500 0.000
Hg3 0.000 0.500 0.500
Hg4 0.500 0.000 0.000
Hg5 0.500 0.000 0.500
Hg6 0.500 0.500 0.000
Hg7 0.500 0.500 0.500



Below is a geometry-optimized Nb2InRe structure, with properties calculated at the PBE level.

total moment	0.00	μB per formula unit
calculated formation energy	4.141	kcal/mol of atoms
space-group type	R-3m

abc: 3.114 3.114 26.899
angles: 90.00 90.00 120.00
Element x y z (fractional)
Nb1 0.000 0.000 0.241
Nb2 0.000 0.000 0.759
Nb3 0.333 0.667 0.426
Nb4 0.333 0.667 0.908
Nb5 0.667 0.333 0.092
Nb6 0.667 0.333 0.574
In1 0.000 0.000 0.000
In2 0.333 0.667 0.667
In3 0.667 0.333 0.333
Re1 0.000 0.000 0.500
Re2 0.333 0.667 0.167
Re3 0.667 0.333 0.833